# 1
LaCuSe2 | PBE | relaxed

Structure (CIF):
```
data_LaCuSe2
_space_group_name_H-M_alt 'P 1'
_space_group_IT_number 1
_cell_length_a 7.894
_cell_length_b 7.894
_cell_length_c 7.894
_cell_angle_alpha 33.82
_cell_angle_beta 33.82
_cell_angle_gamma 33.82
loop_
_space_group_symop_operation_xyz
'x,y,z'
loop_
_atom_site_label
_atom_site_type_symbol
_atom_site_fract_x
_atom_site_fract_y
_atom_site_fract_z
_atom_site_occupancy
La1 La 0.000 0.000 0.000 1
Cu1 Cu 0.500 0.500 0.500 1
Se1 Se 0.399 0.399 0.399 1
Se2 Se 0.601 0.601 0.601 1
```

Uncorrected energy (Ry/atom): -0.3816

# 2
CuAg2C | PBE | relaxed

Structure (CIF):
```
data_CuAg2C
_space_group_name_H-M_alt 'P 1'
_space_group_IT_number 1
_cell_length_a 6.465
_cell_length_b 6.465
_cell_length_c 6.465
_cell_angle_alpha 130.78
_cell_angle_beta 130.78
_cell_angle_gamma 72.16
loop_
_space_group_symop_operation_xyz
'x,y,z'
loop_
_atom_site_label
_atom_site_type_symbol
_atom_site_fract_x
_atom_site_fract_y
_atom_site_fract_z
_atom_site_occupancy
Cu1 Cu 0.000 0.000 0.000 1
Cu2 Cu 0.750 0.250 0.500 1
Ag1 Ag 0.211 0.625 0.086 1
Ag2 Ag 0.375 0.461 0.586 1
Ag3 Ag 0.539 0.125 0.914 1
Ag4 Ag 0.875 0.789 0.414 1
C1 C 0.250 0.750 0.500 1
C2 C 0.500 0.500 0.000 1
```

Uncorrected energy (Ry/atom): -0.2395

# 3
TlReMo2 | PBE | relaxed

Structure (CIF):
```
data_TlReMo2
_space_group_name_H-M_alt 'P 1'
_space_group_IT_number 1
_cell_length_a 2.990
_cell_length_b 4.040
_cell_length_c 5.859
_cell_angle_alpha 90.00
_cell_angle_beta 90.00
_cell_angle_gamma 90.00
loop_
_space_group_symop_operation_xyz
'x,y,z'
loop_
_atom_site_label
_atom_site_type_symbol
_atom_site_fract_x
_atom_site_fract_y
_atom_site_fract_z
_atom_site_occupancy
Tl1 Tl 0.000 0.000 0.000 1
Re1 Re 0.500 0.500 0.699 1
Mo1 Mo 0.000 0.000 0.504 1
Mo2 Mo 0.500 0.500 0.290 1
```

Energy above the most stable polymorph in this dataset (kJ/mol of formula units): 47

# 4
Be2IrPt | PBE | relaxed

Structure (CIF):
```
data_Be2IrPt
_space_group_name_H-M_alt 'P 1'
_space_group_IT_number 1
_cell_length_a 5.078
_cell_length_b 5.078
_cell_length_c 5.078
_cell_angle_alpha 106.95
_cell_angle_beta 106.95
_cell_angle_gamma 114.64
loop_
_space_group_symop_operation_xyz
'x,y,z'
loop_
_atom_site_label
_atom_site_type_symbol
_atom_site_fract_x
_atom_site_fract_y
_atom_site_fract_z
_atom_site_occupancy
Be1 Be 0.125 0.125 0.500 1
Be2 Be 0.375 0.875 0.000 1
Be3 Be 0.625 0.625 0.500 1
Be4 Be 0.875 0.375 0.000 1
Ir1 Ir 0.000 0.000 0.000 1
Ir2 Ir 0.750 0.250 0.500 1
Pt1 Pt 0.250 0.750 0.500 1
Pt2 Pt 0.500 0.500 0.000 1
```

Energy above the most stable polymorph in this dataset (kJ/mol of formula units): 240

# 5
TiSbRuRh | PBE | relaxed

Structure (CIF):
```
data_TiSbRuRh
_space_group_name_H-M_alt 'P 1'
_space_group_IT_number 1
_cell_length_a 4.705
_cell_length_b 4.705
_cell_length_c 4.705
_cell_angle_alpha 127.79
_cell_angle_beta 127.79
_cell_angle_gamma 76.97
loop_
_space_group_symop_operation_xyz
'x,y,z'
loop_
_atom_site_label
_atom_site_type_symbol
_atom_site_fract_x
_atom_site_fract_y
_atom_site_fract_z
_atom_site_occupancy
Ti1 Ti 0.000 0.000 0.000 1
Sb1 Sb 0.500 0.500 0.000 1
Ru1 Ru 0.750 0.250 0.500 1
Rh1 Rh 0.250 0.750 0.500 1
```

Energy above the most stable polymorph in this dataset (kJ/mol of formula units): 0

# 6
Pm2AuO6 | PBE | relaxed

Structure (CIF):
```
data_Pm2AuO6
_space_group_name_H-M_alt 'P 1'
_space_group_IT_number 1
_cell_length_a 6.172
_cell_length_b 6.172
_cell_length_c 6.733
_cell_angle_alpha 90.00
_cell_angle_beta 90.00
_cell_angle_gamma 106.34
loop_
_space_group_symop_operation_xyz
'x,y,z'
loop_
_atom_site_label
_atom_site_type_symbol
_atom_site_fract_x
_atom_site_fract_y
_atom_site_fract_z
_atom_site_occupancy
Pm1 Pm 0.176 0.824 0.897 1
Pm2 Pm 0.324 0.676 0.397 1
Pm3 Pm 0.676 0.324 0.603 1
Pm4 Pm 0.824 0.176 0.103 1
Au1 Au 0.000 0.000 0.500 1
Au2 Au 0.500 0.500 0.000 1
O1 O 0.021 0.321 0.423 1
O2 O 0.069 0.931 0.215 1
O3 O 0.179 0.479 0.077 1
O4 O 0.321 0.021 0.577 1
O5 O 0.431 0.569 0.715 1
O6 O 0.479 0.179 0.923 1
O7 O 0.521 0.821 0.077 1
O8 O 0.569 0.431 0.285 1
O9 O 0.679 0.979 0.423 1
O10 O 0.821 0.521 0.923 1
O11 O 0.931 0.069 0.785 1
O12 O 0.979 0.679 0.577 1
```

Uncorrected energy (Ry/atom): -0.4764

Magnetization per entry: 0.00 0.00 0.00 0.00 0.00 1.86 Bohr magnetons per cell
Ρ per entry: 4.41 6.39 13.67 13.44 9.83 7.87 Mg/m³